Below is a relaxed structure of CrRe2PdRh, with properties calculated at the PBE-GGA level.

Its formation energy is 2309 meV per atom. For the volume, the calculation gives 20.1 Å³ per atom. The calculated total energy comes out at -35.52 eV per formula unit.

The space group is P4/mmm (No. 123) and the conventional cell measures 4.594, 4.594 and 4.758 Å, with angles of 90.00, 90.00 and 90.00 degrees. The distinct sites, in fractional coordinates, are Cr at (0.000, 0.000, 0.000), Re at (0.000, 0.500, 0.500), Pd at (0.500, 0.500, 0.000) and Rh at (0.500, 0.500, 0.500).


Below is a relaxed structure of CrReSb2Pd, with properties calculated at the PBE-GGA level.

For the volume, the calculation gives 25.9 Å³ per atom. The calculated total energy comes out at -30.39 eV per formula unit.

The space group is P4/mmm (No. 123) and the conventional cell measures 5.081, 5.081 and 5.026 Å, with angles of 90.00, 90.00 and 90.00 degrees. The distinct sites, in fractional coordinates, are Cr at (0.000, 0.000, 0.000), Re at (0.500, 0.500, 0.500), Sb at (0.000, 0.500, 0.500) and Pd at (0.500, 0.500, 0.000).